Record 1
Below is a geometry-optimized LiPmDyAg structure, with properties calculated at the PBE-GGA level.

```
4
Lattice="5.235 0.000 0.000 2.617 4.533 0.000 2.617 1.511 4.274" Properties=species:S:1:pos:R:3 pbc="T T T"
Ag 2.617 1.511 1.069
Li 7.852 4.533 3.206
Pm 5.235 3.022 2.137
Dy 0.000 0.000 0.000
```

Values from the calculation:
Crystal system: cubic
SG: F-43m (216)
Electronic total energy in eV per atom: -3.6051
Calculated volume in Å³ per atom: 25.357
Mass density in Mg/m³: 6.91
DFT formation energy in meV/atom: -76

=====

Record 2
Below is a geometry-optimized TbCuPt4 structure, with properties calculated at the PBE-GGA level.

```
6
Lattice="-1.517 -1.109 4.985 3.532 -1.923 3.494 1.682 3.044 4.035" Properties=species:S:1:pos:R:3 pbc="T T T"
Cu 0.000 0.000 0.000
Pt 2.313 0.008 7.828
Pt 1.468 -1.521 5.801
Pt 3.075 0.565 5.325
Pt 0.539 0.973 6.074
Tb 0.924 0.003 3.128
```

Values from the calculation:
Crystal system: cubic
SG: F-43m (216)
Energy relative to the lowest polymorph listed for this composition in meV per atom: 0.0
Electronic total energy in eV per atom: -6.1161
Calculated volume in Å³ per atom: 17.816
Mass density in Mg/m³: 15.58
DFT formation energy in meV/atom: -634

=====

Record 3
Below is a geometry-optimized NaMnNi structure, with properties calculated at the PBE-GGA level.

```
12
Lattice="-2.016 -3.037 -3.350 -1.888 -2.056 3.001 -6.709 5.188 -0.666" Properties=species:S:1:pos:R:3 pbc="T T T"
Mn -2.859 -0.681 1.933
Mn -7.754 0.776 -2.948
Mn -4.559 -1.665 0.189
Mn -6.054 1.759 -1.205
Ni -4.161 0.345 -0.982
Ni -2.895 -2.932 -2.431
Ni -7.719 3.027 1.416
Ni -6.453 -0.251 -0.034
Na -5.469 1.256 1.618
Na -5.145 -1.161 -2.633
Na -8.730 1.479 -0.281
Na -1.884 -1.385 -0.735
```

Values from the calculation:
Crystal system: orthorhombic
SG: Pnma (62)
Energy relative to the lowest polymorph listed for this composition in meV per atom: 645.3
Electronic total energy in eV per atom: -4.5447
Calculated volume in Å³ per atom: 14.386
Mass density in Mg/m³: 5.26
DFT formation energy in meV/atom: 879

=====

Record 4
Below is a geometry-optimized Ru2WCS structure, with properties calculated at the PBE-GGA level.

```
5
Lattice="3.955 0.000 0.000 0.000 3.955 0.000 0.000 0.000 4.354" Properties=species:S:1:pos:R:3 pbc="T T T"
W 1.978 1.978 2.177
Ru 0.000 1.978 0.000
Ru 1.978 0.000 0.000
S 0.000 0.000 2.177
C 0.000 0.000 0.000
```

Values from the calculation:
Crystal system: tetragonal
SG: P4/mmm (123)
ΔE_f (raw) in eV/atom: 1.10
Electronic total energy in eV per atom: -7.8694
Calculated volume in Å³ per atom: 13.622
Mass density in Mg/m³: 10.48

=====

Record 5
Below is a geometry-optimized Ba6CdN structure, with properties calculated at the PBE-GGA level.

```
8
Lattice="7.795 0.006 0.007 3.885 6.754 0.015 3.883 2.246 7.400" Properties=species:S:1:pos:R:3 pbc="T T T"
Ba 4.902 4.294 5.749
Ba 6.167 6.895 1.671
Ba 9.396 2.110 5.751
Ba 9.034 7.095 5.760
Ba 10.662 4.711 1.674
Ba 6.530 1.911 1.662
N 0.000 0.000 0.000
Cd 7.782 4.503 3.711
```

Values from the calculation:
Crystal system: triclinic
SG: P-1 (2)
ΔE_f (raw) in eV/atom: -0.15
Electronic total energy in eV per atom: -2.7500
Calculated volume in Å³ per atom: 48.624
Mass density in Mg/m³: 4.06

=====

Record 6
Below is a geometry-optimized Zr4Fe3Ru structure, with properties calculated at the PBE-GGA level.

```
8
Lattice="-0.879 -1.844 -2.484 3.071 -0.208 -0.932 1.481 -10.400 7.197" Properties=species:S:1:pos:R:3 pbc="T T T"
Zr 0.194 -1.359 0.940
Zr 0.558 -3.921 2.713
Zr 0.923 -6.479 4.483
Zr 1.287 -9.041 6.256
Ru 1.096 -1.026 -1.708
Fe 1.471 -3.655 0.112
Fe 2.203 -8.796 3.669
Fe 1.837 -6.226 1.890
```

Values from the calculation:
Crystal system: tetragonal
SG: P4/mmm (123)
Electronic total energy in eV per atom: -8.9075
Calculated volume in Å³ per atom: 16.463
Mass density in Mg/m³: 7.99
DFT formation energy in meV/atom: -300

=====

Record 7
Below is a geometry-optimized Ti5Ni2Pd2 structure, with properties calculated at the PBE-GGA level.

```
18
Lattice="6.305 0.000 0.000 0.000 6.053 0.000 0.000 -3.026 7.361" Properties=species:S:1:pos:R:3 pbc="T T T"
Ti 5.133 1.117 5.457
Ti 4.324 1.117 1.904
Ti 1.171 1.909 1.904
Ti 4.324 -1.909 5.457
Ti 3.152 3.026 0.000
Ti 1.981 1.909 5.457
Ti 1.171 -1.117 5.457
Ti 1.981 4.935 1.904
Ti 0.000 0.000 0.000
Ti 5.133 4.144 1.904
Pd 0.000 0.000 3.289
Pd 0.000 3.026 4.072
Pd 3.152 0.000 4.072
Pd 3.152 3.026 3.289
Ni 2.295 0.777 0.000
Ni 4.010 5.275 0.000
Ni 5.447 2.249 0.000
Ni 0.857 3.804 0.000
```

Values from the calculation:
Crystal system: orthorhombic
SG: Cmce (64)
Electronic total energy in eV per atom: -7.1767
Calculated volume in Å³ per atom: 15.606
Mass density in Mg/m³: 6.73
DFT formation energy in meV/atom: -352

=====

Record 8
Below is a geometry-optimized Al3Hg2 structure, with properties calculated at the PBE-GGA level.

```
5
Lattice="2.126 -3.681 0.000 2.126 3.681 0.000 0.000 0.000 6.929" Properties=species:S:1:pos:R:3 pbc="T T T"
Al 2.126 -1.227 4.230
Al 2.126 1.227 2.699
Al 0.000 0.000 0.000
Hg 2.126 -1.227 1.400
Hg 2.126 1.227 5.529
```

Values from the calculation:
Crystal system: trigonal
SG: P-3m1 (164)
Energy relative to the lowest polymorph listed for this composition in meV per atom: 79.5
Electronic total energy in eV per atom: -2.1466
Calculated volume in Å³ per atom: 21.688
Mass density in Mg/m³: 7.38
DFT formation energy in meV/atom: 220

=====

Record 9
Below is a geometry-optimized Mn2H5Pd5 structure, with properties calculated at the PBE-GGA level.

```
12
Lattice="2.820 0.000 0.000 -1.410 4.727 -0.015 0.000 -2.273 9.081" Properties=species:S:1:pos:R:3 pbc="T T T"
H 0.000 2.599 2.856
H 1.410 2.295 5.337
H 0.000 0.159 3.729
H 1.410 -0.145 6.210
H 0.000 0.000 0.000
Mn 1.410 3.855 1.895
Mn 0.000 -1.402 7.171
Pd 1.410 1.278 0.441
Pd 1.410 -1.136 4.540
Pd 0.000 1.176 8.624
Pd 1.410 1.337 3.185
Pd 0.000 1.117 5.881
```

Values from the calculation:
Crystal system: monoclinic
SG: C2/m (12)
Electronic total energy in eV per atom: -5.1302
Calculated volume in Å³ per atom: 10.079
Mass density in Mg/m³: 8.88

=====

Record 10
Below is a geometry-optimized Nd2Si4Pd3 structure, with properties calculated at the PBE-GGA level.

```
18
Lattice="-3.048 -0.300 -4.812 -6.234 -0.725 3.994 0.686 7.685 2.467" Properties=species:S:1:pos:R:3 pbc="T T T"
Si -3.950 0.538 -2.603
Si -4.646 6.121 4.251
Si -6.421 2.001 3.942
Si -3.538 4.474 1.962
Si -2.426 0.689 -0.197
Si -5.058 2.186 -0.314
Si -6.170 5.971 1.845
Si -2.176 4.659 -2.294
Pd -2.698 3.137 -0.177
Pd -5.898 3.523 1.826
Pd -4.374 3.673 4.232
Pd -4.222 2.987 -2.584
Pd -4.641 -0.513 -0.409
Pd 0.000 0.000 0.000
Nd -1.253 5.869 0.427
Nd -7.344 0.791 1.221
Nd -3.887 1.166 2.389
Nd -4.709 5.494 -0.741
```

Values from the calculation:
Crystal system: orthorhombic
SG: Cmce (64)
ΔE_f (raw) in eV/atom: -0.76
Electronic total energy in eV per atom: -5.9611
Calculated volume in Å³ per atom: 17.875
Mass density in Mg/m³: 7.43

=====

Record 11
Below is a geometry-optimized Sm2YPd structure, with properties calculated at the PBE-GGA level.

```
4
Lattice="3.742 0.000 0.000 1.871 3.241 0.000 1.871 1.080 9.853" Properties=species:S:1:pos:R:3 pbc="T T T"
Pd 0.000 0.000 0.000
Sm 5.613 3.241 7.897
Sm 1.871 1.080 1.956
Y 3.742 2.161 4.926
```

Values from the calculation:
Crystal system: trigonal
SG: R-3m (166)
Energy relative to the lowest polymorph listed for this composition in meV per atom: 172.6
Electronic total energy in eV per atom: -5.5418
Calculated volume in Å³ per atom: 29.875
Mass density in Mg/m³: 6.89
DFT formation energy in meV/atom: -268

=====

Record 12
Below is a geometry-optimized Nd2CuSi4Ir3 structure, with properties calculated at the PBE-GGA level.

```
10
Lattice="-1.689 0.424 -3.824 -3.841 0.056 1.703 0.524 9.825 0.859" Properties=species:S:1:pos:R:3 pbc="T T T"
Si 0.000 0.000 0.000
Si -0.515 6.405 -1.371
Si -1.727 3.660 1.169
Si -2.765 0.240 -1.061
Nd -1.526 7.441 1.500
Nd -0.716 2.624 -1.701
Ir -0.387 8.806 -1.161
Ir -1.855 1.259 0.959
Ir 0.262 4.912 0.430
Cu -2.503 5.153 -0.631
```

Values from the calculation:
Crystal system: tetragonal
SG: P-4m2 (115)
ΔE_f (raw) in eV/atom: -0.88
Electronic total energy in eV per atom: -7.0743
Calculated volume in Å³ per atom: 17.441
Mass density in Mg/m³: 9.91